No. 1
Computed, not measured: a relaxed Nd2Zn3GaNi12 crystal at the GGA-PBE level of DFT.

Unit cell a=6.0447 b=6.0447 c=25.8530 alpha=90.00 beta=90.00 gamma=120.00
Space group R-3m (No. 166, hexagonal axes)
Asymmetric unit:
Nd 0.0000 0.0000 0.1521
Zn 0.0000 0.5000 0.0000
Ga 0.0000 0.0000 0.5000
Ni 0.0509 0.5254 0.0959
Ni 0.0742 0.5371 0.6159

Calculated values
ΔH_f (0 K)	1.0	eV per formula unit
energy	-84.75	eV per formula unit
spin magnetization	0.000	μB/f.u.

=====

No. 2
Computed, not measured: a relaxed Tb5Ga3 crystal at the GGA-PBE level of DFT.

Unit cell a=7.6359 b=7.6359 c=14.3307 alpha=90.00 beta=90.00 gamma=90.00
Space group I4/mcm (No. 140)
Asymmetric unit:
Tb 0.0000 0.0000 0.0000
Tb 0.1709 0.3291 0.1478
Ga 0.0000 0.0000 0.2500
Ga 0.1211 0.3789 0.5000

Calculated values
ΔH_f (0 K)	-3.9	eV per formula unit
energy	-36.11	eV per formula unit
spin magnetization	0.000	μB/f.u.
energy above the most stable polymorph in this dataset	0.0000	eV per atom

=====

No. 3
Computed, not measured: a relaxed RbZrSc crystal at the GGA-PBE level of DFT.

Unit cell a=3.3811 b=5.0972 c=13.5058 alpha=90.00 beta=96.67 gamma=90.00
Space group Pm (No. 6)
Asymmetric unit:
Rb 0.0000 0.0000 0.0000
Rb 0.3246 0.5000 0.6990
Zr 0.1410 0.0000 0.2918
Zr 0.7282 0.0000 0.4800
Sc 0.1978 0.5000 0.4149
Sc 0.6046 0.5000 0.2131

Calculated values
ΔH_f (0 K)	1.1	eV per formula unit
energy	-14.72	eV per formula unit
spin magnetization	0.514	μB/f.u.
energy above the most stable polymorph in this dataset	0.1005	eV per atom

=====

No. 4
Computed, not measured: a relaxed SrSbS3 crystal at the GGA-PBE level of DFT.

Unit cell a=15.4124 b=5.3610 c=7.4770 alpha=90.00 beta=110.39 gamma=90.00
Space group C2/m (No. 12)
Asymmetric unit:
Sr 0.1279 0.0000 0.3224
Sb 0.1600 0.5000 0.8875
S 0.0333 0.5000 0.1503
S 0.1559 0.0000 0.9398
S 0.1669 0.5000 0.5623

Calculated values
raw formation energy	-0.92	eV/atom
energy	-22.77	eV per formula unit
spin magnetization	0.000	μB/f.u.
energy above the most stable polymorph in this dataset	0.0384	eV per atom

=====

No. 5
Computed, not measured: a relaxed LaSb2TeS crystal at the GGA-PBE level of DFT.

Unit cell a=5.2813 b=5.2813 c=5.2492 alpha=90.00 beta=90.00 gamma=90.00
Space group P4/mmm (No. 123)
Asymmetric unit:
La 0.0000 0.0000 0.0000
Sb 0.0000 0.5000 0.5000
Te 0.5000 0.5000 0.0000
S 0.5000 0.5000 0.5000

Calculated values
raw formation energy	-0.27	eV/atom
energy	-21.81	eV per formula unit
spin magnetization	0.000	μB/f.u.
energy above the most stable polymorph in this dataset	0.0000	eV per atom

=====

No. 6
Computed, not measured: a relaxed Tb3Pm6Sm2Ho crystal at the GGA-PBE level of DFT.

Unit cell a=6.2659 b=10.8508 c=11.9474 alpha=90.00 beta=100.06 gamma=90.00
Space group C2/m (No. 12)
Asymmetric unit:
Tb 0.0000 0.0000 0.0000
Tb 0.0000 0.3334 0.0000
Pm 0.2489 0.5000 0.2488
Pm 0.2499 0.1663 0.2492
Sm 0.0000 0.1666 0.5000
Ho 0.0000 0.5000 0.5000

Calculated values
ΔH_f (0 K)	0.1	eV per formula unit
energy	-56.26	eV per formula unit
spin magnetization	0.000	μB/f.u.

=====

No. 7
Computed, not measured: a relaxed ThGaH crystal at the GGA-PBE level of DFT.

Unit cell a=7.0949 b=4.0994 c=7.9667 alpha=90.00 beta=107.42 gamma=90.00
Space group C2/m (No. 12)
Asymmetric unit:
Th 0.0983 0.0000 0.2926
Ga 0.1553 0.5000 0.9659
H 0.2012 0.0000 0.6054

Calculated values
energy	-15.34	eV per formula unit
spin magnetization	0.000	μB/f.u.
energy above the most stable polymorph in this dataset	0.1229	eV per atom

=====

No. 8
Computed, not measured: a relaxed Pu2SeN crystal at the GGA-PBE level of DFT.

Unit cell a=3.6530 b=3.6530 c=20.2101 alpha=90.00 beta=90.00 gamma=120.00
Space group R3m (No. 160, hexagonal axes)
Asymmetric unit:
Pu 0.0000 0.0000 0.0000
Pu 0.0000 0.0000 0.1304
Se 0.0000 0.0000 0.5673
N 0.0000 0.0000 0.3969

Calculated values
raw formation energy	-1.05	eV/atom
energy	-44.67	eV per formula unit
spin magnetization	0.226	μB/f.u.
energy above the most stable polymorph in this dataset	0.2713	eV per atom

=====

No. 9
Computed, not measured: a relaxed RbPaTl2Te4 crystal at the GGA-PBE level of DFT.

Unit cell a=8.3760 b=4.6304 c=8.5892 alpha=90.00 beta=108.04 gamma=90.00
Space group P2/m (No. 10)
Asymmetric unit:
Rb 0.0000 0.0000 0.0000
Pa 0.0000 0.5000 0.5000
Tl 0.5000 0.0000 0.5000
Tl 0.5000 0.5000 0.0000
Te 0.2151 0.0000 0.7019
Te 0.2255 0.5000 0.2983

Calculated values
raw formation energy	-0.68	eV/atom
energy	-33.19	eV per formula unit
spin magnetization	0.075	μB/f.u.

=====

No. 10
Computed, not measured: a relaxed ReSb2Pb crystal at the GGA-PBE level of DFT.

Unit cell a=7.1206 b=7.1206 c=7.1206 alpha=90.00 beta=90.00 gamma=90.00
Space group F-43m (No. 216)
Asymmetric unit:
Re 0.0000 0.0000 0.0000
Sb 0.0000 0.0000 0.5000
Sb 0.2500 0.2500 0.2500
Pb 0.2500 0.2500 0.7500

Calculated values
raw formation energy	0.91	eV/atom
energy	-20.74	eV per formula unit
spin magnetization	0.000	μB/f.u.

=====

No. 11
Computed, not measured: a relaxed HfTa3P crystal at the GGA-PBE level of DFT.

Unit cell a=4.6295 b=4.6295 c=4.6295 alpha=90.00 beta=90.00 gamma=90.00
Space group Pm-3m (No. 221)
Asymmetric unit:
Hf 0.0000 0.0000 0.0000
Ta 0.0000 0.5000 0.5000
P 0.5000 0.5000 0.5000

Calculated values
ΔH_f (0 K)	0.6	eV per formula unit
energy	-50.34	eV per formula unit
spin magnetization	0.000	μB/f.u.
energy above the most stable polymorph in this dataset	0.0000	eV per atom

=====

No. 12
Computed, not measured: a relaxed LiNiI2 crystal at the GGA-PBE level of DFT.

Unit cell a=4.4078 b=4.4078 c=24.0190 alpha=90.00 beta=90.00 gamma=120.00
Space group R-3m (No. 166, hexagonal axes)
Asymmetric unit:
Li 0.0000 0.0000 0.0000
Ni 0.0000 0.0000 0.5000
I 0.0000 0.0000 0.3992

Calculated values
raw formation energy	-0.27	eV/atom
energy	-11.89	eV per formula unit
spin magnetization	1.000	μB/f.u.
energy above the most stable polymorph in this dataset	0.1904	eV per atom

=====

No. 13
Computed, not measured: a relaxed MoWAu2 crystal at the GGA-PBE level of DFT.

Unit cell a=9.4973 b=2.7405 c=5.1710 alpha=90.00 beta=97.11 gamma=90.00
Space group Cm (No. 8)
Asymmetric unit:
Mo 0.0000 0.0000 0.0000
W 0.2546 0.5000 0.2340
Au 0.9996 0.5000 0.4921
Au 0.2541 0.0000 0.7389

Calculated values
ΔH_f (0 K)	1.3	eV per formula unit
energy	-29.03	eV per formula unit
spin magnetization	0.000	μB/f.u.
energy above the most stable polymorph in this dataset	0.1228	eV per atom

=====

No. 14
Computed, not measured: a relaxed Ac2MgSc crystal at the GGA-PBE level of DFT.

Unit cell a=5.8897 b=5.8897 c=3.9467 alpha=90.00 beta=90.00 gamma=90.00
Space group P4/mmm (No. 123)
Asymmetric unit:
Ac 0.0000 0.5000 0.0000
Mg 0.0000 0.0000 0.5000
Sc 0.5000 0.5000 0.5000

Calculated values
ΔH_f (0 K)	0.1	eV per formula unit
energy	-16.05	eV per formula unit
spin magnetization	0.000	μB/f.u.
energy above the most stable polymorph in this dataset	0.0000	eV per atom

=====

No. 15
Computed, not measured: a relaxed PmNdGdZr crystal at the GGA-PBE level of DFT.

Unit cell a=7.9009 b=7.9009 c=7.9009 alpha=90.00 beta=90.00 gamma=90.00
Space group F-43m (No. 216)
Asymmetric unit:
Pm 0.0000 0.0000 0.0000
Nd 0.2500 0.2500 0.2500
Gd 0.0000 0.0000 0.5000
Zr 0.2500 0.2500 0.7500

Calculated values
ΔH_f (0 K)	0.9	eV per formula unit
energy	-31.23	eV per formula unit
spin magnetization	9.281	μB/f.u.

=====

No. 16
Computed, not measured: a relaxed Pr5SmDy2Y crystal at the GGA-PBE level of DFT.

Unit cell a=5.7002 b=20.7123 c=10.7732 alpha=90.00 beta=90.00 gamma=90.00
Space group Cmc2_1 (No. 36)
Asymmetric unit:
Pr 0.0000 0.0147 0.0000
Pr 0.0000 0.2792 0.2929
Pr 0.0000 0.2951 0.6862
Pr 0.0000 0.3873 0.0052
Pr 0.0000 0.4820 0.7264
Sm 0.0000 0.2003 0.9915
Dy 0.0000 0.1121 0.7203
Dy 0.0000 0.1156 0.2921
Y 0.0000 0.4072 0.4437

Calculated values
ΔH_f (0 K)	1.3	eV per formula unit
energy	-42.99	eV per formula unit
spin magnetization	0.000	μB/f.u.

=====

No. 17
Computed, not measured: a relaxed Ac3Nd crystal at the GGA-PBE level of DFT.

Unit cell a=8.8278 b=8.8278 c=8.8278 alpha=90.00 beta=90.00 gamma=90.00
Space group Fm-3m (No. 225)
Asymmetric unit:
Ac 0.0000 0.0000 0.0000
Ac 0.2500 0.2500 0.2500
Nd 0.0000 0.0000 0.5000

Calculated values
ΔH_f (0 K)	0.6	eV per formula unit
energy	-16.51	eV per formula unit
spin magnetization	1.737	μB/f.u.
energy above the most stable polymorph in this dataset	0.1257	eV per atom

=====

No. 18
Computed, not measured: a relaxed MnBeTl2 crystal at the GGA-PBE level of DFT.

Unit cell a=6.5331 b=6.5331 c=6.5331 alpha=90.00 beta=90.00 gamma=90.00
Space group Fm-3m (No. 225)
Asymmetric unit:
Mn 0.0000 0.0000 0.0000
Be 0.0000 0.0000 0.5000
Tl 0.2500 0.2500 0.2500

Calculated values
ΔH_f (0 K)	4.2	eV per formula unit
energy	-13.43	eV per formula unit
spin magnetization	0.000	μB/f.u.
energy above the most stable polymorph in this dataset	0.6218	eV per atom

=====

No. 19
Computed, not measured: a relaxed RbWN3 crystal at the GGA-PBE level of DFT.

Unit cell a=4.0819 b=4.0819 c=4.0819 alpha=90.00 beta=90.00 gamma=90.00
Space group Pm-3m (No. 221)
Asymmetric unit:
Rb 0.0000 0.0000 0.0000
W 0.5000 0.5000 0.5000
N 0.0000 0.5000 0.5000

Calculated values
raw formation energy	0.29	eV/atom
energy	-37.43	eV per formula unit
spin magnetization	2.000	μB/f.u.

=====

No. 20
Computed, not measured: a relaxed HfTlZn crystal at the GGA-PBE level of DFT.

Unit cell a=3.3361 b=4.9332 c=15.5222 alpha=90.00 beta=90.00 gamma=90.00
Space group Immm (No. 71)
Asymmetric unit:
Hf 0.0000 0.0000 0.1819
Tl 0.0000 0.0000 0.3699
Zn 0.0000 0.2396 0.0000

Calculated values
ΔH_f (0 K)	0.6	eV per formula unit
energy	-12.98	eV per formula unit
spin magnetization	0.000	μB/f.u.
energy above the most stable polymorph in this dataset	0.1051	eV per atom

=====

No. 21
Computed, not measured: a relaxed LaCe3Pr4S8 crystal at the GGA-PBE level of DFT.

Unit cell a=8.1726 b=8.1726 c=19.9825 alpha=90.00 beta=90.00 gamma=120.00
Space group R-3m (No. 166, hexagonal axes)
Asymmetric unit:
La 0.0000 0.0000 0.0000
Ce 0.0000 0.5000 0.0000
Pr 0.0000 0.0000 0.5000
Pr 0.0000 0.5000 0.5000
S 0.0000 0.0000 0.2521
S 0.0039 0.5020 0.2513

Calculated values
raw formation energy	-2.05	eV/atom
energy	-107.67	eV per formula unit
spin magnetization	2.311	μB/f.u.

=====

No. 22
Computed, not measured: a relaxed ZrBRu3 crystal at the GGA-PBE level of DFT.

Unit cell a=3.6761 b=3.6761 c=6.4387 alpha=90.00 beta=90.00 gamma=90.00
Space group P4mm (No. 99)
Asymmetric unit:
Zr 0.0000 0.0000 0.0000
B 0.5000 0.5000 0.5070
Ru 0.0000 0.0000 0.6122
Ru 0.0000 0.5000 0.3181

Calculated values
ΔH_f (0 K)	2.6	eV per formula unit
energy	-40.46	eV per formula unit
spin magnetization	0.000	μB/f.u.

=====

No. 23
Computed, not measured: a relaxed PmDy4Ho crystal at the GGA-PBE level of DFT.

Unit cell a=5.6788 b=22.3449 c=6.1026 alpha=90.00 beta=90.00 gamma=90.00
Space group Imma (No. 74)
Asymmetric unit:
Pm 0.0000 0.0000 0.0000
Dy 0.0000 0.0912 0.4336
Dy 0.0000 0.1688 0.9224
Ho 0.0000 0.2500 0.4224

Calculated values
ΔH_f (0 K)	0.3	eV per formula unit
energy	-27.40	eV per formula unit
spin magnetization	0.000	μB/f.u.
energy above the most stable polymorph in this dataset	0.0383	eV per atom

=====

No. 24
Computed, not measured: a relaxed GePtO2 crystal at the GGA-PBE level of DFT.

Unit cell a=7.7920 b=5.1448 c=6.0970 alpha=90.00 beta=121.15 gamma=90.00
Space group Cc (No. 9)
Asymmetric unit:
Ge 0.0000 0.2046 0.0000
Pt 0.3720 0.2817 0.7980
O 0.1027 0.4466 0.5444
O 0.2743 0.1086 0.1993

Calculated values
raw formation energy	-0.83	eV/atom
energy	-23.88	eV per formula unit
spin magnetization	0.000	μB/f.u.

=====

No. 25
Computed, not measured: a relaxed CeYGe crystal at the GGA-PBE level of DFT.

Unit cell a=6.9974 b=6.9974 c=6.9974 alpha=90.00 beta=90.00 gamma=90.00
Space group F-43m (No. 216)
Asymmetric unit:
Ce 0.0000 0.0000 0.0000
Y 0.0000 0.0000 0.5000
Ge 0.2500 0.2500 0.7500

Calculated values
ΔH_f (0 K)	-1.3	eV per formula unit
energy	-18.29	eV per formula unit
spin magnetization	0.955	μB/f.u.